Crystalline BiS2NF at its relaxed geometry. Source: Alexandria, functional PBE.

Results
* excess energy over the best structure of this formula in the dataset: 44 meV/atom
* symmetry: No. 123
* formation energy from raw total energies: 1171.8 meV per atom
* DOS at the Fermi energy: 6.4 states/eV/f.u.

Cell: 5.320 5.320 4.627 Å, 90.00 90.00 90.00°
Positions (direct):
N: 0.000 0.000 0.500
S: 0.500 0.000 0.000
S: 0.000 0.500 0.000
F: 0.500 0.500 0.500
Bi: 0.000 0.000 0.000

***

Crystalline CrTc2W3 at its relaxed geometry. Source: Alexandria, functional PBE.

Results
* symmetry: No. 15
* E_form: 249.3 meV per atom
* DOS at the Fermi energy: 5.2 states/eV/f.u.

Cell: 5.239 7.262 5.195 Å, 97.08 90.00 111.15°
Positions (direct):
W: 0.250 0.331 0.579
W: 0.081 0.331 0.079
W: 0.302 0.000 0.250
W: 0.750 0.669 0.421
W: 0.919 0.669 0.921
W: 0.698 0.000 0.750
Tc: 0.423 0.674 0.946
Tc: 0.750 0.326 0.554
Tc: 0.577 0.326 0.054
Tc: 0.250 0.674 0.446
Cr: 0.187 0.000 0.750
Cr: 0.813 0.000 0.250

***

Crystalline SiMoPt3 at its relaxed geometry. Source: Alexandria, functional PBE.

Results
* excess energy over the best structure of this formula in the dataset: 0 meV/atom
* symmetry: No. 221
* formation energy from raw total energies: 506.8 meV per atom
* DOS at the Fermi energy: 4.7 states/eV/f.u.

Cell: 4.516 4.516 4.516 Å, 90.00 90.00 90.00°
Positions (direct):
Mo: 0.500 0.500 0.500
Si: 0.000 0.000 0.000
Pt: 0.000 0.500 0.000
Pt: 0.500 0.000 0.000
Pt: 0.000 0.000 0.500

***

Crystalline YNbSe2N at its relaxed geometry. Source: Alexandria, functional PBE.

Results
* excess energy over the best structure of this formula in the dataset: 0 meV/atom
* symmetry: No. 123
* formation energy from raw total energies: -741.6 meV per atom
* DOS at the Fermi energy: 2.5 states/eV/f.u.

Cell: 5.172 5.172 3.935 Å, 90.00 90.00 90.00°
Positions (direct):
Se: 0.500 0.000 0.000
Se: 0.000 0.500 0.000
Nb: 0.000 0.000 0.000
N: 0.000 0.000 0.500
Y: 0.500 0.500 0.500

***

Crystalline K2AlSi2 at its relaxed geometry. Source: Alexandria, functional PBE.

Results
* symmetry: No. 127
* formation energy from raw total energies: 174.0 meV per atom
* DOS at the Fermi energy: 3.3 states/eV/f.u.

Cell: 6.711 6.711 5.686 Å, 90.00 90.00 90.00°
Positions (direct):
Al: 0.500 0.500 0.000
Al: 0.000 0.000 0.000
Si: 0.124 0.376 0.000
Si: 0.376 0.876 0.000
Si: 0.624 0.124 0.000
Si: 0.876 0.624 0.000
K: 0.679 0.821 0.500
K: 0.179 0.679 0.500
K: 0.821 0.321 0.500
K: 0.321 0.179 0.500

***

Crystalline NaGa3Te at its relaxed geometry. Source: Alexandria, functional PBE.

Results
* excess energy over the best structure of this formula in the dataset: 0 meV/atom
* symmetry: No. 221
* formation energy from raw total energies: 405.0 meV per atom
* DOS at the Fermi energy: 3.2 states/eV/f.u.

Cell: 5.730 5.730 5.730 Å, 90.00 90.00 90.00°
Positions (direct):
Ga: 0.000 0.000 0.500
Ga: 0.000 0.500 0.000
Ga: 0.500 0.000 0.000
Te: 0.000 0.000 0.000
Na: 0.500 0.500 0.500

***

Crystalline ZnNiIr at its relaxed geometry. Source: Alexandria, functional PBE.

Results
* excess energy over the best structure of this formula in the dataset: 71 meV/atom
* symmetry: No. 156
* E_form: -74.4 meV per atom
* DOS at the Fermi energy: 3.8 states/eV/f.u.

Cell: 2.706 2.706 6.257 Å, 90.00 90.00 120.00°
Positions (direct):
Zn: 0.667 0.333 0.655
Ir: 0.000 0.000 0.008
Ni: 0.333 0.667 0.336

***

Crystalline Rb2ZnInBr at its relaxed geometry. Source: Alexandria, functional PBE.

Results
* symmetry: No. 123
* formation energy from raw total energies: -194.1 meV per atom
* DOS at the Fermi energy: 4.6 states/eV/f.u.

Cell: 6.429 6.348 6.429 Å, 90.00 90.00 90.00°
Positions (direct):
Br: 0.000 0.000 0.000
Zn: 0.000 0.500 0.000
Rb: 0.500 0.000 0.000
Rb: 0.000 0.000 0.500
In: 0.500 0.500 0.500

***

Crystalline PrAl2InPd5 at its relaxed geometry. Source: Alexandria, functional PBE.

Results
* symmetry: No. 123
* E_form: -574.5 meV per atom
* DOS at the Fermi energy: 4.3 states/eV/f.u.

Cell: 4.227 4.227 9.371 Å, 90.00 90.00 90.00°
Positions (direct):
Pd: 0.500 0.500 0.500
Pd: 0.000 0.500 0.730
Pd: 0.000 0.500 0.270
Pd: 0.500 0.000 0.270
Pd: 0.500 0.000 0.730
In: 0.000 0.000 0.000
Al: 0.500 0.500 0.864
Al: 0.500 0.500 0.136
Pr: 0.000 0.000 0.500

***

Crystalline KHgAsO4 at its relaxed geometry. Source: Alexandria, functional PBE.

Results
* symmetry: No. 82
* formation energy from raw total energies: -1174.4 meV per atom
* DOS at the Fermi energy: 0.0 states/eV/f.u.

Cell: 5.993 5.993 5.836 Å, 120.89 120.89 90.00°
Positions (direct):
As: 0.250 0.750 0.500
O: 0.509 0.669 0.732
O: 0.937 0.491 0.268
O: 0.331 0.778 0.268
O: 0.222 0.063 0.732
K: 0.000 0.000 0.000
Hg: 0.500 0.500 0.000

***

Crystalline TaAlBiO6 at its relaxed geometry. Source: Alexandria, functional PBE.

Results
* symmetry: No. 149
* formation energy from raw total energies: -2235.3 meV per atom
* DOS at the Fermi energy: 2.6 states/eV/f.u.

Cell: 4.772 5.176 5.176 Å, 120.00 90.00 90.00°
Positions (direct):
Bi: 0.000 0.333 0.667
O: 0.279 0.975 0.677
O: 0.721 0.975 0.298
O: 0.721 0.702 0.677
O: 0.721 0.323 0.025
O: 0.279 0.323 0.298
O: 0.279 0.702 0.025
Al: 0.500 0.000 0.000
Ta: 0.500 0.667 0.333

***

Crystalline Ho2NpAg3Se6 at its relaxed geometry. Source: Alexandria, functional PBE.

Results
* symmetry: No. 12
* formation energy from raw total energies: -999.3 meV per atom
* DOS at the Fermi energy: 7.6 states/eV/f.u.

Cell: 4.191 8.008 9.074 Å, 99.27 103.35 90.00°
Positions (direct):
Np: 0.500 0.000 0.000
Se: 0.669 0.589 0.338
Se: 0.331 0.411 0.662
Se: 0.331 0.903 0.663
Se: 0.669 0.097 0.337
Se: 0.998 0.747 0.995
Se: 0.002 0.253 0.005
Ho: 0.167 0.343 0.334
Ho: 0.833 0.657 0.666
Ag: 0.842 0.142 0.684
Ag: 0.158 0.858 0.316
Ag: 0.500 0.500 0.000

***

Crystalline TbNd2ErS6 at its relaxed geometry. Source: Alexandria, functional PBE.

Results
* symmetry: No. 146
* formation energy from raw total energies: -2036.7 meV per atom
* DOS at the Fermi energy: 0.0 states/eV/f.u.

Cell: 7.053 7.053 7.418 Å, 61.61 61.61 60.00°
Positions (direct):
Nd: 0.022 0.023 0.933
Nd: 0.522 0.522 0.434
S: 0.437 0.702 0.757
S: 0.702 0.104 0.757
S: 0.104 0.437 0.757
S: 0.609 0.199 0.259
S: 0.933 0.609 0.259
S: 0.199 0.933 0.259
Er: 0.817 0.817 0.549
Tb: 0.316 0.316 0.052

***

Crystalline MnBS3 at its relaxed geometry. Source: Alexandria, functional PBE.

Results
* excess energy over the best structure of this formula in the dataset: 1285 meV/atom
* symmetry: No. 221
* formation energy from raw total energies: 1017.8 meV per atom
* DOS at the Fermi energy: 3.2 states/eV/f.u.

Cell: 4.546 4.546 4.546 Å, 90.00 90.00 90.00°
Positions (direct):
B: 0.500 0.500 0.500
S: 0.000 0.500 0.000
S: 0.000 0.000 0.500
S: 0.500 0.000 0.000
Mn: 0.000 0.000 0.000

***

Crystalline YTmInAu at its relaxed geometry. Source: Alexandria, functional PBE.

Results
* excess energy over the best structure of this formula in the dataset: 0 meV/atom
* symmetry: No. 99
* E_form: -682.3 meV per atom
* DOS at the Fermi energy: 2.3 states/eV/f.u.

Cell: 3.592 3.592 7.635 Å, 90.00 90.00 90.00°
Positions (direct):
Y: 0.000 0.000 0.372
In: 0.500 0.500 0.102
Au: 0.500 0.500 0.620
Tm: 0.000 0.000 0.835

***

Crystalline CeTh2ZrAs4 at its relaxed geometry. Source: Alexandria, functional PBE.

Results
* symmetry: No. 10
* E_form: -1314.2 meV per atom
* DOS at the Fermi energy: 7.3 states/eV/f.u.

Cell: 4.158 7.172 7.174 Å, 109.48 90.00 90.00°
Positions (direct):
Ce: 0.500 0.500 0.000
As: 0.000 0.246 0.762
As: 0.500 0.763 0.767
As: 0.500 0.237 0.233
As: 0.000 0.754 0.238
Th: 0.000 0.500 0.500
Th: 0.500 0.000 0.500
Zr: 0.000 0.000 0.000

***

Crystalline AcCeNdIn at its relaxed geometry. Source: Alexandria, functional PBE.

Results
* symmetry: No. 216
* E_form: -30.5 meV per atom
* DOS at the Fermi energy: 10.7 states/eV/f.u.

Cell: 5.680 5.680 5.680 Å, 60.00 60.00 60.00°
Positions (direct):
In: 0.250 0.250 0.250
Ac: 0.750 0.750 0.750
Nd: 0.000 0.000 0.000
Ce: 0.500 0.500 0.500

***

Crystalline FeHgAu2 at its relaxed geometry. Source: Alexandria, functional PBE.

Results
* symmetry: No. 47
* E_form: 296.0 meV per atom
* DOS at the Fermi energy: 2.7 states/eV/f.u.

Cell: 3.004 4.850 4.901 Å, 90.00 90.00 90.00°
Positions (direct):
Fe: 0.500 0.000 0.500
Au: 0.000 0.000 0.000
Au: 0.500 0.500 0.000
Hg: 0.000 0.500 0.500

***

Crystalline BaBiAsF at its relaxed geometry. Source: Alexandria, functional PBE.

Results
* symmetry: No. 129
* formation energy from raw total energies: -1576.5 meV per atom
* DOS at the Fermi energy: 0.6 states/eV/f.u.

Cell: 5.361 5.361 7.668 Å, 90.00 90.00 90.00°
Positions (direct):
F: 0.500 0.500 0.500
F: 0.000 0.000 0.500
As: 0.000 0.500 0.846
As: 0.500 0.000 0.154
Ba: 0.500 0.000 0.622
Ba: 0.000 0.500 0.378
Bi: 0.000 0.000 0.000
Bi: 0.500 0.500 0.000

***

Crystalline Fe3MoIr at its relaxed geometry. Source: Alexandria, functional PBE.

Results
* excess energy over the best structure of this formula in the dataset: 234 meV/atom
* symmetry: No. 221
* E_form: 1891.0 meV per atom
* DOS at the Fermi energy: 14.9 states/eV/f.u.

Cell: 4.363 4.363 4.363 Å, 90.00 90.00 90.00°
Positions (direct):
Fe: 0.000 0.500 0.000
Fe: 0.500 0.000 0.000
Fe: 0.000 0.000 0.500
Mo: 0.500 0.500 0.500
Ir: 0.000 0.000 0.000

***

Crystalline Tl3Hg12Sb at its relaxed geometry. Source: Alexandria, functional PBE.

Results
* symmetry: No. 10
* formation energy from raw total energies: 16.1 meV per atom
* DOS at the Fermi energy: 4.2 states/eV/f.u.

Cell: 4.844 7.348 16.018 Å, 122.01 90.00 90.00°
Positions (direct):
Tl: 0.000 0.029 0.771
Tl: 0.000 0.971 0.229
Tl: 0.000 0.000 0.500
Hg: 0.500 0.003 0.371
Hg: 0.500 0.991 0.884
Hg: 0.500 0.500 0.000
Hg: 0.500 0.504 0.249
Hg: 0.500 0.496 0.751
Hg: 0.500 0.009 0.116
Hg: 0.000 0.517 0.630
Hg: 0.500 0.500 0.500
Hg: 0.000 0.483 0.370
Hg: 0.000 0.522 0.882
Hg: 0.000 0.478 0.118
Hg: 0.500 0.997 0.629
Sb: 0.000 0.000 0.000

***

Crystalline AlTlHg4 at its relaxed geometry. Source: Alexandria, functional PBE.

Results
* symmetry: No. 216
* E_form: 221.1 meV per atom
* DOS at the Fermi energy: 4.2 states/eV/f.u.

Cell: 6.123 6.123 6.123 Å, 60.00 60.00 60.00°
Positions (direct):
Hg: 0.375 0.375 0.375
Hg: 0.375 0.876 0.375
Hg: 0.876 0.375 0.375
Hg: 0.375 0.375 0.876
Tl: 0.750 0.750 0.750
Al: 0.000 0.000 0.000

***

Crystalline SrAcGd2 at its relaxed geometry. Source: Alexandria, functional PBE.

Results
* excess energy over the best structure of this formula in the dataset: 105 meV/atom
* symmetry: No. 166
* E_form: 215.2 meV per atom
* DOS at the Fermi energy: 7.2 states/eV/f.u.

Cell: 3.753 3.753 13.328 Å, 81.91 81.91 60.00°
Positions (direct):
Gd: 0.091 0.091 0.728
Gd: 0.909 0.909 0.272
Ac: 0.500 0.500 0.500
Sr: 0.000 0.000 0.000

***

Crystalline MgTiAgIr at its relaxed geometry. Source: Alexandria, functional PBE.

Results
* symmetry: No. 216
* E_form: -344.9 meV per atom
* DOS at the Fermi energy: 2.9 states/eV/f.u.

Cell: 4.504 4.504 4.504 Å, 60.00 60.00 60.00°
Positions (direct):
Ag: 0.000 0.000 0.000
Ir: 0.500 0.500 0.500
Ti: 0.250 0.250 0.250
Mg: 0.750 0.750 0.750

***

Crystalline CeSmAg4 at its relaxed geometry. Source: Alexandria, functional PBE.

Results
* excess energy over the best structure of this formula in the dataset: 104 meV/atom
* symmetry: No. 216
* E_form: -101.7 meV per atom
* DOS at the Fermi energy: 8.6 states/eV/f.u.

Cell: 5.758 5.758 5.758 Å, 60.00 60.00 60.00°
Positions (direct):
Ag: 0.625 0.625 0.125
Ag: 0.625 0.625 0.625
Ag: 0.125 0.625 0.625
Ag: 0.625 0.125 0.625
Ce: 0.250 0.250 0.250
Sm: 0.000 0.000 0.000

***

Crystalline DyWC2 at its relaxed geometry. Source: Alexandria, functional PBE.

Results
* excess energy over the best structure of this formula in the dataset: 295 meV/atom
* symmetry: No. 160
* E_form: 8.2 meV per atom
* DOS at the Fermi energy: 1.8 states/eV/f.u.

Cell: 3.187 3.187 6.094 Å, 74.84 74.84 60.00°
Positions (direct):
C: 0.264 0.264 0.207
C: 0.070 0.070 0.789
W: 0.670 0.670 0.989
Dy: 0.495 0.495 0.515

***

| no. | magnetic moment (Bohr magnetons per cell) |
| --- | --- |
| 1 | 4.413 |
| 2 | 0.000 |
| 3 | 3.625 |
| 4 | 0.000 |
| 5 | 0.000 |
| 6 | 0.000 |
| 7 | 0.055 |
| 8 | 0.000 |
| 9 | 0.000 |
| 10 | 0.000 |
| 11 | 0.000 |
| 12 | 4.000 |
| 13 | 0.000 |
| 14 | 3.307 |
| 15 | 0.000 |
| 16 | 0.390 |
| 17 | 1.397 |
| 18 | 2.903 |
| 19 | 0.000 |
| 20 | 0.000 |
| 21 | 0.000 |
| 22 | 0.000 |
| 23 | 15.112 |
| 24 | 0.000 |
| 25 | 1.346 |
| 26 | 0.000 |